(1)
# PBE Fe3TeN, relaxed
data_Fe3TeN
_chemical_formula_sum 'Fe3 Te1 N1'
_space_group_name_H-M_alt 'P 1'
_space_group_IT_number 1
_space_group_name_Hall 'P 1'
_cell_length_a 3.9587
_cell_length_b 3.9587
_cell_length_c 3.9587
_cell_angle_alpha 90.00
_cell_angle_beta 90.00
_cell_angle_gamma 90.00
loop_
_atom_site_label
_atom_site_type_symbol
_atom_site_fract_x
_atom_site_fract_y
_atom_site_fract_z
_atom_site_occupancy
N1 N 0.0000 0.0000 0.0000 1
Fe1 Fe 0.0000 0.0000 0.5000 1
Te1 Te 0.5000 0.5000 0.5000 1
Fe2 Fe 0.5000 0.0000 0.0000 1
Fe3 Fe 0.0000 0.5000 0.0000 1
# V   12.408 Å³ per atom
# Final energy   -7.200 eV/atom
# Relative energy among the computed polymorphs   0.0 meV per atom
# Uncorrected formation energy   171 meV/atom

(2)
# PBE SrIrS2, relaxed
data_SrIrS2
_chemical_formula_sum 'Sr1 Ir1 S2'
_space_group_name_H-M_alt 'P 1'
_space_group_IT_number 1
_space_group_name_Hall 'P 1'
_cell_length_a 8.2265
_cell_length_b 8.2265
_cell_length_c 8.2265
_cell_angle_alpha 26.49
_cell_angle_beta 26.49
_cell_angle_gamma 26.49
loop_
_atom_site_label
_atom_site_type_symbol
_atom_site_fract_x
_atom_site_fract_y
_atom_site_fract_z
_atom_site_occupancy
S1 S 0.8787 0.8787 0.8787 1
Ir1 Ir 0.5000 0.5000 0.5000 1
S2 S 0.1213 0.1213 0.1213 1
Sr1 Sr 0.0000 0.0000 0.0000 1
# V   24.407 Å³ per atom
# Final energy   -5.153 eV/atom
# Relative energy among the computed polymorphs   273.2 meV per atom
# Uncorrected formation energy   -454 meV/atom

(3)
# PBE MgNbAsPt2, relaxed
data_MgNbAsPt2
_chemical_formula_sum 'Mg1 Nb1 As1 Pt2'
_space_group_name_H-M_alt 'P 1'
_space_group_IT_number 1
_space_group_name_Hall 'P 1'
_cell_length_a 4.7078
_cell_length_b 4.6881
_cell_length_c 4.7078
_cell_angle_alpha 90.00
_cell_angle_beta 90.00
_cell_angle_gamma 90.00
loop_
_atom_site_label
_atom_site_type_symbol
_atom_site_fract_x
_atom_site_fract_y
_atom_site_fract_z
_atom_site_occupancy
Pt1 Pt 0.0000 0.0000 0.5000 1
Pt2 Pt 0.5000 0.0000 0.0000 1
Nb1 Nb 0.5000 0.5000 0.5000 1
Mg1 Mg 0.0000 0.5000 0.0000 1
As1 As 0.0000 0.0000 0.0000 1
# V   20.780 Å³ per atom
# DFT formation energy   0.555 eV per atom
# Final energy   -5.124 eV/atom

(4)
# PBE ReMo2, relaxed
data_ReMo2
_chemical_formula_sum 'Re3 Mo6'
_space_group_name_H-M_alt 'P 1'
_space_group_IT_number 1
_space_group_name_Hall 'P 1'
_cell_length_a 6.4724
_cell_length_b 6.4724
_cell_length_c 4.1411
_cell_angle_alpha 90.00
_cell_angle_beta 90.00
_cell_angle_gamma 120.00
loop_
_atom_site_label
_atom_site_type_symbol
_atom_site_fract_x
_atom_site_fract_y
_atom_site_fract_z
_atom_site_occupancy
Mo1 Mo 0.0000 0.2515 0.0000 1
Mo2 Mo 0.2515 0.0000 0.0000 1
Mo3 Mo 0.5770 0.0000 0.5000 1
Mo4 Mo 0.4230 0.4230 0.5000 1
Mo5 Mo 0.0000 0.5770 0.5000 1
Re1 Re 0.0000 0.0000 0.5000 1
Re2 Re 0.3333 0.6667 0.0000 1
Mo6 Mo 0.7485 0.7485 0.0000 1
Re3 Re 0.6667 0.3333 0.0000 1
# V   16.693 Å³ per atom
# DFT formation energy   0.447 eV per atom
# Final energy   -10.923 eV/atom
# Relative energy among the computed polymorphs   403.4 meV per atom

(5)
# PBE NaSr12Ca7, relaxed
data_NaSr12Ca7
_chemical_formula_sum 'Na1 Sr12 Ca7'
_space_group_name_H-M_alt 'P 1'
_space_group_IT_number 1
_space_group_name_Hall 'P 1'
_cell_length_a 13.0714
_cell_length_b 13.0714
_cell_length_c 13.0714
_cell_angle_alpha 116.58
_cell_angle_beta 116.58
_cell_angle_gamma 116.58
loop_
_atom_site_label
_atom_site_type_symbol
_atom_site_fract_x
_atom_site_fract_y
_atom_site_fract_z
_atom_site_occupancy
Ca1 Ca 0.6884 0.9024 0.9569 1
Sr1 Sr 0.9513 0.5726 0.1257 1
Sr2 Sr 0.0487 0.4274 0.8743 1
Sr3 Sr 0.1289 0.4518 0.4847 1
Sr4 Sr 0.1257 0.9513 0.5726 1
Ca2 Ca 0.9569 0.6884 0.9024 1
Sr5 Sr 0.8711 0.5482 0.5153 1
Ca3 Ca 0.0431 0.3116 0.0976 1
Ca4 Ca 0.3116 0.0976 0.0431 1
Ca5 Ca 0.9024 0.9569 0.6884 1
Na1 Na 0.0000 0.0000 0.0000 1
Sr6 Sr 0.4274 0.8743 0.0487 1
Sr7 Sr 0.8743 0.0487 0.4274 1
Ca6 Ca 0.5000 0.5000 0.5000 1
Sr8 Sr 0.4518 0.4847 0.1289 1
Sr9 Sr 0.5153 0.8711 0.5482 1
Sr10 Sr 0.5726 0.1257 0.9513 1
Ca7 Ca 0.0976 0.0431 0.3116 1
Sr11 Sr 0.4847 0.1289 0.4518 1
Sr12 Sr 0.5482 0.5153 0.8711 1
# V   52.413 Å³ per atom
# DFT formation energy   0.146 eV per atom
# Final energy   -1.629 eV/atom
# Relative energy among the computed polymorphs   0.0 meV per atom

(6)
# PBE Ni3C, relaxed
data_Ni3C
_chemical_formula_sum 'Ni3 C1'
_space_group_name_H-M_alt 'P 1'
_space_group_IT_number 1
_space_group_name_Hall 'P 1'
_cell_length_a 3.7712
_cell_length_b 3.7712
_cell_length_c 2.7837
_cell_angle_alpha 90.00
_cell_angle_beta 90.00
_cell_angle_gamma 104.37
loop_
_atom_site_label
_atom_site_type_symbol
_atom_site_fract_x
_atom_site_fract_y
_atom_site_fract_z
_atom_site_occupancy
Ni1 Ni 0.5000 0.0000 0.5000 1
Ni2 Ni 0.0000 0.5000 0.5000 1
Ni3 Ni 0.5000 0.5000 0.0000 1
C1 C 0.0000 0.0000 0.0000 1
# V   9.588 Å³ per atom
# DFT formation energy   0.887 eV per atom
# Final energy   -5.755 eV/atom
# Relative energy among the computed polymorphs   825.0 meV per atom